[1]
Compound: TbFe3
Source: the Alexandria database
Functional: GGA-PBE
Structure: relaxed

a b c (Å): 5.1040 5.1040 16.2162
angles (deg): 90.00 90.00 120.00
Element x y z (fractional)
Tb (0.3333, 0.6667, 0.0373)
Tb (0.3333, 0.6667, 0.2500)
Tb (0.3333, 0.6667, 0.4627)
Tb (0.6667, 0.3333, 0.5373)
Tb (0.6667, 0.3333, 0.7500)
Tb (0.6667, 0.3333, 0.9627)
Fe (0.0000, 0.0000, 0.0000)
Fe (0.0000, 0.0000, 0.2500)
Fe (0.0000, 0.0000, 0.5000)
Fe (0.0000, 0.0000, 0.7500)
Fe (0.1666, 0.3331, 0.6282)
Fe (0.1666, 0.3331, 0.8718)
Fe (0.1666, 0.8334, 0.6282)
Fe (0.1666, 0.8334, 0.8718)
Fe (0.3331, 0.1666, 0.1282)
Fe (0.3331, 0.1666, 0.3718)
Fe (0.3333, 0.6667, 0.7500)
Fe (0.6667, 0.3333, 0.2500)
Fe (0.6669, 0.8334, 0.6282)
Fe (0.6669, 0.8334, 0.8718)
Fe (0.8334, 0.1666, 0.1282)
Fe (0.8334, 0.1666, 0.3718)
Fe (0.8334, 0.6669, 0.1282)
Fe (0.8334, 0.6669, 0.3718)

Values from the calculation:
**E**: -181.45 eV/cell
**ΔE_f**: -0.056 eV per atom


[2]
Compound: CaTbPm2Tl4
Source: the Alexandria database
Functional: GGA-PBE
Structure: relaxed

a b c (Å): 9.4916 9.4916 9.4916
angles (deg): 33.39 33.39 33.39
Element x y z (fractional)
Ca (0.0000, 0.0000, 0.0000)
Tb (0.5000, 0.5000, 0.5000)
Pm (0.2536, 0.2536, 0.2536)
Pm (0.7464, 0.7464, 0.7464)
Tl (0.1270, 0.1270, 0.1270)
Tl (0.3775, 0.3775, 0.3775)
Tl (0.6225, 0.6225, 0.6225)
Tl (0.8730, 0.8730, 0.8730)

Values from the calculation:
**E**: -28.67 eV/cell
**ΔE_f**: -0.385 eV per atom


[3]
Compound: NaLaTeI2
Source: the Alexandria database
Functional: GGA-PBE
Structure: relaxed

a b c (Å): 5.4872 5.4872 5.9881
angles (deg): 90.00 90.00 90.00
Element x y z (fractional)
Na (0.0000, 0.0000, 0.0000)
La (0.5000, 0.5000, 0.5000)
Te (0.0000, 0.0000, 0.5000)
I (0.0000, 0.5000, 0.0000)
I (0.5000, 0.0000, 0.0000)

Values from the calculation:
**E**: -15.99 eV/cell
**Formation energy without anion corrections**: -338 kJ/mol of formula units
**Offset from the most stable computed form**: 434 meV per atom